1.
CeTlAgPd (GGA-PBE, optimized geometry); size of the total moment = 0.72 μB/f.u.; total energy = -17.6 eV for the cell shown; formation energy = -0.32 eV/atom; symmetry = No. 216
1.0
-4.573 -1.190 1.638
-0.560 -2.276 4.418
-1.999 2.481 3.855
Tl Ce Ag Pd
1 1 1 1
Direct
0.500 0.500 0.500 Tl
0.000 0.000 0.000 Ce
0.250 0.250 0.250 Ag
0.750 0.750 0.750 Pd

2.
CaFeRe3 (GGA-PBE, optimized geometry); energy above the lowest structure with this stoichiometry = 2277 meV/atom; size of the total moment = 0.00 μB/f.u.; total energy = -30.1 eV for the cell shown; formation energy = 3.54 eV/atom; symmetry = No. 221
1.0
-1.125 -2.959 -3.188
3.750 1.009 -2.259
2.204 -3.227 2.217
Re Ca Fe
3 1 1
Direct
0.500 0.000 0.000 Re
0.000 0.500 0.000 Re
0.000 0.000 0.500 Re
0.000 0.000 0.000 Ca
0.500 0.500 0.500 Fe

Question: The highest total energy belongs to which entry?
Answer: CeTlAgPd

Question: Look up the total energy of the first one.
Answer: -17.6 eV for the cell shown

Question: Which value of formation energy does entry 2 give?
Answer: 3.54 eV/atom

Question: Among the records above, which one has the highest total energy?
Answer: CeTlAgPd